PrTiIn2 PBE relaxed; density = 6.968 g cm⁻³; total energy = -18.31 eV per formula unit; total moment = 0.8 μB/f.u.
1.0
-2.5995 1.7228 1.2047
-2.7086 -1.6171 1.1067
2.3333 -0.3758 10.2108
Ti Pr In
1 1 2
direct
0.0000 0.0000 0.0000 Ti
0.5000 0.5000 0.5000 Pr
0.7409 0.7409 0.7773 In
0.2591 0.2591 0.2227 In